--- A ---
A geometry-optimized AcMnO4 structure, computed with GGA+U.

It has space group I4_1/amd (No. 141, origin choice 2), with a = 7.6694 Å, b = 7.6694 Å, c = 6.6958 Å, α = 90.00°, β = 90.00° and γ = 90.00°. The inequivalent atoms are Ac at (0.0000, 0.2500, 0.3750), Mn at (0.0000, 0.2500, 0.8750) and O at (0.0000, 0.0771, 0.7108).

Its total moment is 0.3333 μB/atom.

***

--- B ---
A geometry-optimized AcMnO4 structure, computed with GGA+U.

It has space group P4_2/nmc (No. 137, origin choice 2), with a = 5.2262 Å, b = 5.2262 Å, c = 6.5686 Å, α = 90.00°, β = 90.00° and γ = 90.00°. The inequivalent atoms are Ac at (0.2500, 0.7500, 0.2500), Mn at (0.2500, 0.7500, 0.7500) and O at (0.0097, 0.2500, 0.0937).

Its total moment is 0.3333 μB/atom.

***

Short version: A, B, most stable first.